# MnRe2As

Crystalline MnRe2As at its relaxed geometry (PBE, Alexandria).

Cell: 2.993 4.361 8.931 Å, 90.00 90.00 90.00°
Space group Immm (No. 71)
Inequivalent atoms, fractional coordinates:
1 Mn 0.000 0.000 0.000 (multiplicity 2)
2 Re 0.000 0.500 0.221 (multiplicity 4)
3 As 0.000 0.000 0.500 (multiplicity 2)

Energy relative to the elements in meV per atom: 285
Calculated volume in Å³ per atom: 14.57
Electronic total energy in eV/atom: -9.394


# MnRe2As

Crystalline MnRe2As at its relaxed geometry (PBE, Alexandria).

Cell: 5.402 5.402 10.987 Å, 90.00 90.00 90.00°
Space group I-42d (No. 122)
Inequivalent atoms, fractional coordinates:
1 Mn 0.000 0.000 0.000 (multiplicity 4)
2 Re 0.223 0.250 0.125 (multiplicity 8)
3 As 0.000 0.000 0.500 (multiplicity 4)

Energy relative to the elements in meV per atom: 1107
Calculated volume in Å³ per atom: 20.04
Electronic total energy in eV/atom: -8.572